[1]
# GGA-PBE CaTaIr2, optimized geometry
# Energy relative to the elements = -94.2 kJ/mol of formula units
# Space group = Fm-3m, No. 225
# Calculated volume = 17.51 A^3/atom
data_CaTaIr2
_chemical_formula_sum 'Ca1 Ta1 Ir2'
_space_group_name_H-M_alt 'P 1'
_space_group_IT_number 1
_space_group_name_Hall 'P 1'
_cell_length_a 4.627
_cell_length_b 4.627
_cell_length_c 4.627
_cell_angle_alpha 60.00
_cell_angle_beta 60.00
_cell_angle_gamma 60.00
loop_
_atom_site_label
_atom_site_type_symbol
_atom_site_fract_x
_atom_site_fract_y
_atom_site_fract_z
_atom_site_occupancy
Ir1 Ir 0.750 0.750 0.750 1
Ta1 Ta 0.500 0.500 0.500 1
Ir2 Ir 0.250 0.250 0.250 1
Ca1 Ca 0.000 0.000 0.000 1

=====

[2]
# GGA-PBE ZrSi, optimized geometry
# E = -7.7609 eV/atom
# Space group = P6_3/mmc, No. 194
# Calculated volume = 19.48 A^3/atom
data_ZrSi
_chemical_formula_sum 'Zr2 Si2'
_space_group_name_H-M_alt 'P 1'
_space_group_IT_number 1
_space_group_name_Hall 'P 1'
_cell_length_a 4.060
_cell_length_b 4.060
_cell_length_c 5.457
_cell_angle_alpha 90.00
_cell_angle_beta 90.00
_cell_angle_gamma 120.00
loop_
_atom_site_label
_atom_site_type_symbol
_atom_site_fract_x
_atom_site_fract_y
_atom_site_fract_z
_atom_site_occupancy
Zr1 Zr 0.667 0.333 0.750 1
Si1 Si 0.000 0.000 0.500 1
Si2 Si 0.000 0.000 0.000 1
Zr2 Zr 0.333 0.667 0.250 1

=====

[3]
# GGA-PBE CsRb2PdAu, optimized geometry
# Energy relative to the elements = 14.9 kJ/mol of formula units
# Space group = P4/mmm, No. 123
# Calculated volume = 53.61 A^3/atom
data_CsRb2PdAu
_chemical_formula_sum 'Cs1 Rb2 Pd1 Au1'
_space_group_name_H-M_alt 'P 1'
_space_group_IT_number 1
_space_group_name_Hall 'P 1'
_cell_length_a 6.371
_cell_length_b 6.371
_cell_length_c 6.605
_cell_angle_alpha 90.00
_cell_angle_beta 90.00
_cell_angle_gamma 90.00
loop_
_atom_site_label
_atom_site_type_symbol
_atom_site_fract_x
_atom_site_fract_y
_atom_site_fract_z
_atom_site_occupancy
Au1 Au 0.500 0.500 0.500 1
Rb1 Rb 0.000 0.500 0.000 1
Rb2 Rb 0.500 0.000 0.000 1
Cs1 Cs 0.000 0.000 0.500 1
Pd1 Pd 0.000 0.000 0.000 1

=====

[4]
# GGA-PBE Pm3ScTl3, optimized geometry
# Energy relative to the elements = -90.3 kJ/mol of formula units
# Space group = P6_3/m, No. 176
# Calculated volume = 29.29 A^3/atom
data_Pm3ScTl3
_chemical_formula_sum 'Pm6 Sc2 Tl6'
_space_group_name_H-M_alt 'P 1'
_space_group_IT_number 1
_space_group_name_Hall 'P 1'
_cell_length_a 5.332
_cell_length_b 9.423
_cell_length_c 9.423
_cell_angle_alpha 120.00
_cell_angle_beta 90.00
_cell_angle_gamma 90.00
loop_
_atom_site_label
_atom_site_type_symbol
_atom_site_fract_x
_atom_site_fract_y
_atom_site_fract_z
_atom_site_occupancy
Tl1 Tl 0.750 0.918 0.539 1
Sc1 Sc 0.250 0.667 0.333 1
Tl2 Tl 0.250 0.378 0.918 1
Tl3 Tl 0.750 0.622 0.082 1
Pm1 Pm 0.250 0.989 0.755 1
Tl4 Tl 0.250 0.082 0.461 1
Pm2 Pm 0.750 0.011 0.245 1
Pm3 Pm 0.250 0.767 0.011 1
Pm4 Pm 0.250 0.245 0.233 1
Pm5 Pm 0.750 0.233 0.989 1
Tl5 Tl 0.750 0.461 0.378 1
Pm6 Pm 0.750 0.755 0.767 1
Sc2 Sc 0.750 0.333 0.667 1
Tl6 Tl 0.250 0.539 0.622 1

=====

[5]
# GGA-PBE BeHgIr, optimized geometry
# Energy relative to the elements = -4.7 kJ/mol of formula units
# Space group = I4mm, No. 107
# Calculated volume = 14.99 A^3/atom
data_BeHgIr
_chemical_formula_sum 'Be1 Hg1 Ir1'
_space_group_name_H-M_alt 'P 1'
_space_group_IT_number 1
_space_group_name_Hall 'P 1'
_cell_length_a 5.412
_cell_length_b 5.412
_cell_length_c 5.412
_cell_angle_alpha 147.75
_cell_angle_beta 147.75
_cell_angle_gamma 46.25
loop_
_atom_site_label
_atom_site_type_symbol
_atom_site_fract_x
_atom_site_fract_y
_atom_site_fract_z
_atom_site_occupancy
Hg1 Hg 0.334 0.334 0.000 1
Ir1 Ir 0.625 0.625 0.000 1
Be1 Be 0.040 0.040 0.000 1

=====

[6]
# GGA-PBE EuIn8Ag4, optimized geometry
# Energy relative to the elements = -153.2 kJ/mol of formula units
# Space group = I4/mmm, No. 139
# Calculated volume = 23.49 A^3/atom
data_EuIn8Ag4
_chemical_formula_sum 'Eu1 In8 Ag4'
_space_group_name_H-M_alt 'P 1'
_space_group_IT_number 1
_space_group_name_Hall 'P 1'
_cell_length_a 7.773
_cell_length_b 7.773
_cell_length_c 7.773
_cell_angle_alpha 98.31
_cell_angle_beta 98.31
_cell_angle_gamma 135.32
loop_
_atom_site_label
_atom_site_type_symbol
_atom_site_fract_x
_atom_site_fract_y
_atom_site_fract_z
_atom_site_occupancy
Ag1 Ag 0.000 0.500 0.000 1
In1 In 0.654 0.000 0.654 1
In2 In 0.500 0.286 0.786 1
In3 In 0.000 0.346 0.346 1
In4 In 0.346 0.000 0.346 1
In5 In 0.286 0.500 0.786 1
Eu1 Eu 0.000 0.000 0.000 1
Ag2 Ag 0.500 0.500 0.500 1
In6 In 0.714 0.500 0.214 1
In7 In 0.500 0.714 0.214 1
Ag3 Ag 0.000 0.000 0.500 1
In8 In 0.000 0.654 0.654 1
Ag4 Ag 0.500 0.000 0.000 1

=====

Question: Number 4 is which compound?
Answer: Pm3ScTl3

=====

Question: Which of these has the highest calculated volume?
Answer: CsRb2PdAu